Entry 1:
Material: SrSc4B3O12
Method: DFT, PBE-GGA
State: relaxed

Cell: 6.427 6.427 6.427 Å, 109.47 109.47 109.47°
Positions (direct):
O1 0.491 0.344 0.147
O2 0.509 0.656 0.853
O3 0.853 0.196 0.344
Sc1 0.000 0.000 0.500
O4 0.656 0.147 0.804
O5 0.853 0.509 0.656
B1 0.000 0.500 0.500
Sr1 0.000 0.000 0.000
O6 0.656 0.853 0.509
B2 0.500 0.000 0.500
O7 0.196 0.344 0.853
O8 0.147 0.491 0.344
Sc2 0.500 0.500 0.500
O9 0.344 0.853 0.196
O10 0.804 0.656 0.147
B3 0.500 0.500 0.000
Sc3 0.000 0.500 0.000
O11 0.344 0.147 0.491
Sc4 0.500 0.000 0.000
O12 0.147 0.804 0.656

**SG**: No. 204
**VASP energy**: -154.264 eV/f.u.
**Theoretical density**: 4.00 Mg/m³
**Energy relative to the elements, uncorrected**: -230.24 kJ per mole of atoms

=====

Entry 2:
Material: BeRuF2
Method: DFT, PBE-GGA
State: relaxed

Cell: 4.015 4.015 4.015 Å, 60.00 60.00 60.00°
Positions (direct):
Be1 0.000 0.000 0.000
F1 0.250 0.250 0.250
F2 0.750 0.750 0.750
Ru1 0.500 0.500 0.500

**Energy relative to the lowest polymorph listed for this composition**: 1498.2 meV/atom
**SG**: No. 225
**VASP energy**: -17.345 eV/f.u.
**Theoretical density**: 5.37 Mg/m³
**Energy relative to the elements, uncorrected**: -14.47 kJ per mole of atoms